The following is a PBE calculation of a relaxed structure of LaZn3Ag4, from OQMD via LeMat-Bulk.

Lattice parameters (Å, degrees): 5.673 4.612 6.213 90.00 93.89 90.00
Space group Pm (No. 6)
Unique sites:
La  0.000  0.000  0.000 x1
Zn  0.158  0.000  0.492 x1
Zn  0.461  0.500  0.146 x1
Zn  0.715  0.500  0.690 x1
Ag  0.233  0.500  0.726 x1
Ag  0.499  0.000  0.837 x1
Ag  0.619  0.000  0.375 x1
Ag  0.946  0.500  0.335 x1

Output
Energy in eV per formula unit: -20.58
Size of the total moment in μB per cell: 0.0